[1]
NpPa2Ge2Ru5 | Alexandria | PBE | optimized geometry; E = -9.0813 eV/atom; SG = P4/mbm (127)
1.0
9.924 0.000 0.000
0.000 9.924 0.000
0.000 0.000 3.646
Np Pa Ge Ru
2 4 4 10
Direct
0.000 0.000 0.000 Np
0.500 0.500 0.000 Np
0.171 0.329 0.000 Pa
0.329 0.829 0.000 Pa
0.671 0.171 0.000 Pa
0.829 0.671 0.000 Pa
0.125 0.625 0.000 Ge
0.375 0.125 0.000 Ge
0.625 0.875 0.000 Ge
0.875 0.375 0.000 Ge
0.000 0.500 0.500 Ru
0.070 0.791 0.500 Ru
0.209 0.070 0.500 Ru
0.291 0.570 0.500 Ru
0.430 0.291 0.500 Ru
0.500 0.000 0.500 Ru
0.570 0.709 0.500 Ru
0.709 0.430 0.500 Ru
0.791 0.930 0.500 Ru
0.930 0.209 0.500 Ru


[2]
NpPaGeRu | Alexandria | PBE | optimized geometry; E = -9.1980 eV/atom; SG = F-43m (216)
1.0
0.000 3.379 3.379
3.379 0.000 3.379
3.379 3.379 0.000
Np Pa Ge Ru
1 1 1 1
Direct
0.000 0.000 0.000 Np
0.750 0.750 0.750 Pa
0.250 0.250 0.250 Ge
0.500 0.500 0.500 Ru


[3]
NpUPaGe | Alexandria | PBE | optimized geometry; E = -9.4682 eV/atom; SG = F-43m (216)
1.0
0.000 3.444 3.444
3.444 0.000 3.444
3.444 3.444 0.000
Np U Pa Ge
1 1 1 1
Direct
0.000 0.000 0.000 Np
0.250 0.250 0.250 U
0.500 0.500 0.500 Pa
0.750 0.750 0.750 Ge


[4]
Np2GePb | Alexandria | PBE | optimized geometry; E = -8.5048 eV/atom; SG = P4/mmm (123)
1.0
3.995 0.000 0.000
0.000 3.995 0.000
0.000 0.000 6.039
Np Ge Pb
2 1 1
Direct
0.000 0.000 0.220 Np
0.000 0.000 0.780 Np
0.500 0.500 0.000 Ge
0.500 0.500 0.500 Pb


| no. | Fermi-level density of states (states/eV per atom) |
| --- | --- |
| 1 | 1.11 |
| 2 | 1.71 |
| 3 | 3.40 |
| 4 | 3.13 |